Entry 1:
## Ca6Tl5Pt (PBE)

Data for a relaxed Ca6Tl5Pt crystal.

a = 5.339 Å, b = 7.800 Å, c = 9.318 Å
α = 65.26°, β = 73.34°, γ = 90.00°
Fractional coordinates of all 12 atoms:
Tl: 0.318 0.818 0.363
Tl: 0.000 0.500 0.000
Tl: 0.332 0.333 0.335
Ca: 0.846 0.612 0.309
Ca: 0.500 0.223 0.000
Tl: 0.682 0.182 0.637
Pt: 0.000 0.000 0.000
Tl: 0.668 0.667 0.665
Ca: 0.500 0.777 0.000
Ca: 0.154 0.921 0.691
Ca: 0.154 0.388 0.691
Ca: 0.846 0.079 0.309

## Properties
- Formation energy: -0.50 eV/atom
- D(E_F): 6.30 states/eV/cell
- Space group: No. 71


Entry 2:
## Ca2TlPt (PBE)

Data for a relaxed Ca2TlPt crystal.

a = 8.142 Å, b = 5.069 Å, c = 3.852 Å
α = 89.90°, β = 61.91°, γ = 128.71°
Fractional coordinates of all 4 atoms:
Ca: 0.500 0.000 0.500
Ca: 0.000 0.000 0.000
Pt: 0.000 0.500 0.500
Tl: 0.500 0.500 0.000

## Properties
- Formation energy: -0.56 eV/atom
- D(E_F): 2.94 states/eV/cell
- Space group: No. 12


Entry 3:
## Ca2TlPt (PBE)

Data for a relaxed Ca2TlPt crystal.

a = 5.656 Å, b = 5.656 Å, c = 5.656 Å
α = 132.56°, β = 132.56°, γ = 69.34°
Fractional coordinates of all 4 atoms:
Ca: 0.250 0.750 0.500
Ca: 0.000 0.000 0.000
Pt: 0.500 0.500 0.000
Tl: 0.750 0.250 0.500

## Properties
- Formation energy: -0.45 eV/atom
- D(E_F): 2.17 states/eV/cell
- Space group: No. 119


Entry 4:
## Ca2TlPt (PBE)

Data for a relaxed Ca2TlPt crystal.

a = 6.890 Å, b = 6.890 Å, c = 4.877 Å
α = 69.40°, β = 69.40°, γ = 29.96°
Fractional coordinates of all 4 atoms:
Pt: 0.498 0.498 0.502
Ca: 0.007 0.007 0.993
Tl: 0.191 0.191 0.308
Ca: 0.803 0.803 0.697

## Properties
- Formation energy: -0.53 eV/atom
- D(E_F): 2.60 states/eV/cell
- Space group: No. 8


Entry 5:
## CaTlPt (PBE)

Data for a relaxed CaTlPt crystal.

a = 5.630 Å, b = 5.920 Å, c = 5.920 Å
α = 72.65°, β = 61.63°, γ = 61.63°
Fractional coordinates of all 6 atoms:
Ca: 0.461 0.268 0.455
Tl: 0.711 0.616 0.607
Tl: 0.211 0.920 0.303
Ca: 0.961 0.768 0.955
Pt: 0.961 0.268 0.955
Pt: 0.461 0.268 0.955

## Properties
- Formation energy: -0.55 eV/atom
- D(E_F): 3.61 states/eV/cell
- Space group: No. 74


Entry 6:
## Ca5Tl2Pt (PBE)

Data for a relaxed Ca5Tl2Pt crystal.

a = 4.906 Å, b = 7.719 Å, c = 12.908 Å
α = 90.00°, β = 90.00°, γ = 90.00°
Fractional coordinates of all 16 atoms:
Ca: 0.000 0.136 0.796
Tl: 0.500 0.082 0.333
Ca: 0.500 0.178 0.077
Ca: 0.500 0.678 0.423
Ca: 0.000 0.864 0.204
Tl: 0.500 0.582 0.167
Pt: 0.000 0.000 0.000
Tl: 0.500 0.918 0.667
Ca: 0.000 0.500 0.000
Ca: 0.500 0.322 0.577
Ca: 0.500 0.822 0.923
Pt: 0.000 0.500 0.500
Tl: 0.500 0.418 0.833
Ca: 0.000 0.000 0.500
Ca: 0.000 0.364 0.296
Ca: 0.000 0.636 0.704

## Properties
- Formation energy: -0.50 eV/atom
- D(E_F): 10.33 states/eV/cell
- Space group: No. 55


Entry 7:
## Ca5TlPt4 (PBE)

Data for a relaxed Ca5TlPt4 crystal.

a = 3.582 Å, b = 3.582 Å, c = 17.815 Å
α = 90.00°, β = 90.00°, γ = 90.00°
Fractional coordinates of all 10 atoms:
Ca: 0.500 0.500 0.314
Ca: 0.500 0.500 0.686
Pt: 0.000 0.000 0.219
Tl: 0.000 0.000 0.000
Ca: 0.500 0.500 0.128
Pt: 0.000 0.000 0.406
Ca: 0.500 0.500 0.872
Pt: 0.000 0.000 0.594
Ca: 0.500 0.500 0.500
Pt: 0.000 0.000 0.781

## Properties
- Formation energy: -0.79 eV/atom
- D(E_F): 2.53 states/eV/cell
- Space group: No. 123


Entry 8:
## Ca2Tl2Pt (PBE)

Data for a relaxed Ca2Tl2Pt crystal.

a = 7.507 Å, b = 7.507 Å, c = 5.247 Å
α = 90.00°, β = 90.00°, γ = 90.00°
Fractional coordinates of all 10 atoms:
Ca: 0.668 0.168 0.000
Ca: 0.168 0.332 0.000
Tl: 0.652 0.848 0.500
Ca: 0.832 0.668 0.000
Tl: 0.348 0.152 0.500
Tl: 0.848 0.348 0.500
Tl: 0.152 0.652 0.500
Ca: 0.332 0.832 0.000
Pt: 0.000 0.000 0.000
Pt: 0.500 0.500 0.000

## Properties
- Formation energy: -0.24 eV/atom
- D(E_F): 6.79 states/eV/cell
- Space group: No. 127


- What is the D(E_F) in the eighth record?
  6.79 states/eV/cell


- D(E_F) of number 8 (Ca2Tl2Pt)?
  6.79 states/eV/cell


- Number 8 is which compound?
  Ca2Tl2Pt